[1]
# FeAu2

A relaxed structure of FeAu2 (PBE, Alexandria via LeMat-Bulk).

Results
Crystal system: hexagonal
Formation enthalpy at 0 K (eV/atom): 0.19
Magnetic moment (μB per atom): 1.027
Symmetry: P6_3/mmc (194)

Cell: 4.5410 4.5410 5.5533 Å, 90.00 90.00 120.00°
Closest atoms and distances in Å follow each position.
Fractional coordinates of all 6 atoms:
Fe 0.3333 0.6667 0.7500  5 Au 2.62-2.78
Fe 0.6667 0.3333 0.2500  5 Au 2.62-2.78
Au 0.0000 0.0000 0.0000  8 Au 2.78-2.97, 6 Fe 2.97
Au 0.0000 0.0000 0.5000  8 Au 2.78-2.97, 6 Fe 2.97
Au 0.3333 0.6667 0.2500  5 Fe 2.62-2.78
Au 0.6667 0.3333 0.7500  5 Fe 2.62-2.78

***

[2]
# Al6Ni5Os

A relaxed structure of Al6Ni5Os (PBE, Alexandria via LeMat-Bulk).

Results
Crystal system: orthorhombic
Formation enthalpy at 0 K (eV/atom): -0.61
Magnetic moment (μB per atom): 0.000
Symmetry: Cmmm (65)

Cell: 4.1455 5.7911 6.5508 Å, 90.00 71.56 90.00°
Closest atoms and distances in Å follow each position.
Fractional coordinates of all 12 atoms:
Ni 0.6695 0.5000 0.6604  8 Al 2.47-2.54
Ni 0.3342 0.0000 0.3325  8 Al 2.52-2.55
Ni 0.0000 0.5000 0.0000  8 Al 2.51-2.54
Ni 0.6658 0.0000 0.6675  8 Al 2.52-2.55
Ni 0.3305 0.5000 0.3396  8 Al 2.47-2.54
Os 0.0000 0.0000 0.0000  8 Al 2.55-2.56
Al 0.8317 0.7476 0.3373  7 Ni 2.47-2.54, 1 Os 2.56
Al 0.8317 0.2524 0.3373  7 Ni 2.47-2.54, 1 Os 2.56
Al 0.5000 0.2567 0.0000  6 Ni 2.51-2.55, 2 Os 2.55
Al 0.5000 0.7433 0.0000  6 Ni 2.51-2.55, 2 Os 2.55
Al 0.1683 0.7476 0.6627  7 Ni 2.47-2.54, 1 Os 2.56
Al 0.1683 0.2524 0.6627  7 Ni 2.47-2.54, 1 Os 2.56

***

[3]
# Cs2Tl4In3Sn

A relaxed structure of Cs2Tl4In3Sn (PBE, Alexandria via LeMat-Bulk).

Results
Crystal system: tetragonal
Formation enthalpy at 0 K (eV/atom): -0.08
Magnetic moment (μB per atom): 0.000
Symmetry: P-4m2 (115)

Cell: 5.2787 5.2787 12.9149 Å, 90.00 90.00 90.00°
Closest atoms and distances in Å follow each position.
Fractional coordinates of all 10 atoms:
Cs 0.5000 0.0000 0.2524  8 Tl 4.01-4.19, 6 In 4.06-4.15, 2 Sn 4.15
Cs 0.0000 0.5000 0.7476  8 Tl 4.01-4.19, 6 In 4.06-4.15, 2 Sn 4.15
Tl 0.5000 0.5000 0.0000  4 In 3.12
Tl 0.0000 0.0000 0.0000  4 In 3.12
Tl 0.5000 0.0000 0.6340  3 In 3.06-3.16, 2 Sn 3.16
Tl 0.0000 0.5000 0.3660  3 In 3.06-3.16, 2 Sn 3.16
In 0.0000 0.0000 0.5000  4 Tl 3.16
In 0.5000 0.0000 0.8711  5 Tl 3.06-3.12
In 0.0000 0.5000 0.1289  5 Tl 3.06-3.12
Sn 0.5000 0.5000 0.5000  4 Tl 3.16